(1)
DFT (PBE) results for an optimized crystal structure of BeCu2.

Results
Formation enthalpy at 0 K: -0.038 eV/atom

Lattice parameters (Å, degrees): 4.3905 4.3905 6.4153 112.21 112.21 33.91
Last column: nearest neighbours and their distance in Å.
Element x y z (fractional)
Be (0.1874, 0.1874, 0.0914)  2 Be 2.26, 7 Cu 2.32-2.44
Be (0.8126, 0.8126, 0.9086)  2 Be 2.26, 7 Cu 2.32-2.44
Cu (0.1629, 0.1629, 0.5889)  2 Be 2.32, 7 Cu 2.51-2.59
Cu (0.4990, 0.4990, 0.7939)  5 Be 2.32-2.44, 5 Cu 2.56-2.60
Cu (0.5010, 0.5010, 0.2061)  5 Be 2.32-2.44, 5 Cu 2.56-2.60
Cu (0.8371, 0.8371, 0.4111)  2 Be 2.32, 7 Cu 2.51-2.59

---

(2)
DFT (PBE) results for an optimized crystal structure of Hf2ZrGa2.

Results
Energy above the most stable polymorph in this dataset: 603.6 meV/atom
Formation enthalpy at 0 K: 0.139 eV/atom

Lattice parameters (Å, degrees): 5.9356 5.9356 7.6701 98.14 98.14 119.82
Last column: nearest neighbours and their distance in Å.
Element x y z (fractional)
Hf (0.0570, 0.2515, 0.4482)  4 Ga 2.75-2.82, 1 Zr 2.88, 1 Hf 2.97
Hf (0.2515, 0.0570, 0.9482)  4 Ga 2.75-2.82, 1 Zr 2.88, 1 Hf 2.97
Hf (0.7485, 0.9430, 0.0518)  4 Ga 2.75-2.82, 1 Zr 2.88, 1 Hf 2.97
Hf (0.9430, 0.7485, 0.5518)  4 Ga 2.75-2.82, 1 Zr 2.88, 1 Hf 2.97
Zr (0.4014, 0.5986, 0.2500)  2 Ga 2.76-2.82, 2 Hf 2.88
Zr (0.5986, 0.4014, 0.7500)  2 Ga 2.76-2.82, 2 Hf 2.88
Ga (0.1329, 0.8671, 0.2500)  4 Hf 2.75-2.82, 1 Zr 2.76, 2 Ga 3.01
Ga (0.3242, 0.6758, 0.7500)  4 Hf 2.75-2.79, 1 Zr 2.82, 2 Ga 3.01
Ga (0.6758, 0.3242, 0.2500)  4 Hf 2.75-2.79, 1 Zr 2.82, 2 Ga 3.01
Ga (0.8671, 0.1329, 0.7500)  4 Hf 2.75-2.82, 1 Zr 2.76, 2 Ga 3.01

---

(3)
DFT (PBE) results for an optimized crystal structure of K2BaNaHg.

Results
Formation enthalpy at 0 K: -0.032 eV/atom

Lattice parameters (Å, degrees): 6.6345 6.6345 6.6863 90.00 90.00 90.00
Last column: nearest neighbours and their distance in Å.
Element x y z (fractional)
K (0.0000, 0.5000, 0.0000)  2 Hg 3.32
K (0.5000, 0.0000, 0.0000)  2 Hg 3.32
Ba (0.0000, 0.0000, 0.5000)  2 Hg 3.34
Na (0.5000, 0.5000, 0.5000)  4 Ba 4.69, 8 K 4.71
Hg (0.0000, 0.0000, 0.0000)  4 K 3.32, 2 Ba 3.34

---

(4)
DFT (PBE) results for an optimized crystal structure of KMg2NiGe.

Results
Energy above the most stable polymorph in this dataset: 1515.6 meV/atom
Formation enthalpy at 0 K: 1.464 eV/atom

Lattice parameters (Å, degrees): 5.5746 5.5746 4.5321 90.00 90.00 90.00
Last column: nearest neighbours and their distance in Å.
Element x y z (fractional)
K (0.0000, 0.0000, 0.0000)  2 Ni 2.27
Mg (0.0000, 0.5000, 0.0000)  2 K 2.79
Mg (0.5000, 0.0000, 0.0000)  2 K 2.79
Ni (0.0000, 0.0000, 0.5000)  2 K 2.27
Ge (0.5000, 0.5000, 0.5000)  8 Mg 3.59, 4 Ni 3.94

---

(5)
DFT (PBE) results for an optimized crystal structure of CaSb2TeAu.

Results
Energy above the most stable polymorph in this dataset: 0.0 meV/atom

Lattice parameters (Å, degrees): 5.3808 5.3808 5.6580 90.00 90.00 90.00
Last column: nearest neighbours and their distance in Å.
Element x y z (fractional)
Ca (0.0000, 0.0000, 0.0000)  4 Te 3.80, 8 Sb 3.90
Sb (0.0000, 0.5000, 0.5000)  2 Au 2.69
Sb (0.5000, 0.0000, 0.5000)  2 Au 2.69
Te (0.5000, 0.5000, 0.0000)  2 Au 2.83
Au (0.5000, 0.5000, 0.5000)  4 Sb 2.69, 2 Te 2.83

---

(6)
DFT (PBE) results for an optimized crystal structure of B2RuI.

Results
Energy above the most stable polymorph in this dataset: 958.8 meV/atom

Lattice parameters (Å, degrees): 4.1672 4.1672 4.1672 60.00 60.00 60.00
Last column: nearest neighbours and their distance in Å.
Element x y z (fractional)
B (0.2500, 0.2500, 0.2500)  4 Ru 2.55, 4 I 2.55
B (0.7500, 0.7500, 0.7500)  4 Ru 2.55, 4 I 2.55
Ru (0.0000, 0.0000, 0.0000)  8 B 2.55
I (0.5000, 0.5000, 0.5000)  8 B 2.55

---

Please write out number 1 again, unchanged.
DFT (PBE) results for an optimized crystal structure of BeCu2.

Results
Formation enthalpy at 0 K: -0.038 eV/atom

Lattice parameters (Å, degrees): 4.3905 4.3905 6.4153 112.21 112.21 33.91
Last column: nearest neighbours and their distance in Å.
Element x y z (fractional)
Be (0.1874, 0.1874, 0.0914)  2 Be 2.26, 7 Cu 2.32-2.44
Be (0.8126, 0.8126, 0.9086)  2 Be 2.26, 7 Cu 2.32-2.44
Cu (0.1629, 0.1629, 0.5889)  2 Be 2.32, 7 Cu 2.51-2.59
Cu (0.4990, 0.4990, 0.7939)  5 Be 2.32-2.44, 5 Cu 2.56-2.60
Cu (0.5010, 0.5010, 0.2061)  5 Be 2.32-2.44, 5 Cu 2.56-2.60
Cu (0.8371, 0.8371, 0.4111)  2 Be 2.32, 7 Cu 2.51-2.59